GGA-PBEsol CaTl, optimized geometry; total energy = -2.882 eV per atom; E_form = -0.5008 eV per atom; volume = 27.6 A^3/atom
1.0
3.8097 0.0000 0.0000
0.0000 3.8097 0.0000
0.0000 0.0000 3.8097
Tl Ca
1 1
Direct
0.5000 0.5000 0.5000
0.0000 0.0000 0.0000


GGA-PBEsol Ca3Tl2, optimized geometry; total energy = -2.685 eV per atom; E_form = -0.3535 eV per atom; volume = 31.9 A^3/atom
1.0
-0.0140 1.4835 5.0940
-4.5865 -0.8499 -2.5281
0.1555 -6.2892 1.8320
Tl Ca
2 3
Direct
0.3333 0.6667 0.8407
0.6667 0.3333 0.1593
0.0000 0.0000 0.0000
0.3333 0.6667 0.3398
0.6667 0.3333 0.6602


GGA-PBEsol Ca3Tl, optimized geometry; total energy = -2.502 eV per atom; E_form = -0.2444 eV per atom; volume = 31.0 A^3/atom
1.0
5.2610 0.0000 0.0000
0.0000 5.2610 0.0000
-2.6305 -2.6305 8.9504
Ca Tl
6 2
Direct
0.0000 0.5000 0.0000
0.5000 0.0000 0.0000
0.7500 0.2500 0.5000
0.2500 0.7500 0.5000
0.8748 0.8748 0.7497
0.1252 0.1252 0.2503
0.6342 0.6342 0.2684
0.3658 0.3658 0.7316


GGA-PBEsol CaTl2, optimized geometry; total energy = -2.802 eV per atom; E_form = -0.3377 eV per atom; volume = 27.6 A^3/atom
1.0
5.0182 0.0000 0.0000
-2.5091 5.0310 0.0242
0.0000 -1.3098 6.5470
Tl Ca
4 2
Direct
0.3611 0.7223 0.7222
0.3611 0.7222 0.2222
0.0293 0.0586 0.5360
0.6929 0.3858 0.9084
0.0189 0.0378 0.0290
0.7033 0.4067 0.4156


GGA-PBEsol CaTl, optimized geometry; total energy = -2.789 eV per atom; E_form = -0.4074 eV per atom; volume = 28.8 A^3/atom
1.0
6.5998 0.0000 0.0000
0.0000 9.4919 0.0000
0.0000 0.0000 11.0346
Ca Tl
12 12
Direct
0.7500 0.8674 0.1774
0.2500 0.1326 0.8226
0.7500 0.3674 0.8226
0.2500 0.6326 0.1774
0.7500 0.4599 0.3708
0.2500 0.5401 0.6292
0.7500 0.9599 0.6292
0.2500 0.0401 0.3708
0.0000 0.2500 0.1171
0.5000 0.7500 0.8829
0.0000 0.7500 0.8829
0.5000 0.2500 0.1171
0.7500 0.5447 0.0773
0.2500 0.4553 0.9227
0.7500 0.0447 0.9227
0.2500 0.9553 0.0773
0.7500 0.1174 0.3623
0.2500 0.8826 0.6377
0.7500 0.6174 0.6377
0.2500 0.3826 0.3623
0.0000 0.2500 0.5821
0.5000 0.7500 0.4179
0.0000 0.7500 0.4179
0.5000 0.2500 0.5821


GGA-PBEsol Ca8Tl, optimized geometry; total energy = -2.281 eV per atom; E_form = -0.0928 eV per atom; volume = 36.1 A^3/atom
1.0
5.3101 0.0000 0.0000
2.6550 7.8244 0.0000
2.6550 0.0000 7.8244
Ca Tl
8 1
Direct
0.3436 0.3129 0.0000
0.6564 0.6871 0.0000
0.6774 0.3226 0.3226
0.3436 0.0000 0.3129
0.0000 0.6774 0.3226
0.6564 0.0000 0.6871
0.3226 0.6774 0.6774
0.0000 0.3226 0.6774
0.0000 0.0000 0.0000


GGA-PBEsol Ca3Tl, optimized geometry; total energy = -2.513 eV per atom; E_form = -0.2556 eV per atom; volume = 31.3 A^3/atom
1.0
-4.2066 -3.6088 0.1941
4.6892 -5.4834 -0.3224
-1.9967 2.6720 6.4058
Ca Tl
6 2
Direct
0.2500 0.6496 0.8248
0.2500 0.1752 0.3504
0.2500 0.1752 0.8248
0.7500 0.3504 0.1752
0.7500 0.8248 0.6496
0.7500 0.8248 0.1752
0.7500 0.3333 0.6667
0.2500 0.6667 0.3333


GGA-PBEsol CaTl2, optimized geometry; total energy = -2.771 eV per atom; E_form = -0.3060 eV per atom; volume = 27.8 A^3/atom
1.0
-3.2557 2.0153 0.4734
-1.8852 -2.5218 -2.2297
1.3294 -2.8126 5.3949
Tl Ca
2 1
Direct
0.1745 0.1745 0.3491
0.8255 0.8255 0.6509
0.5000 0.5000 0.0000


Per-record total magnetization, μB per formula unit: 0.00 0.00 0.00 0.00 0.00 0.00 0.00 0.00